1.
# PBEsol Ca3RePt, relaxed
# SG ... No. 221
# Calculated density ... 5.49 g cm⁻³
# Excess energy over the best structure of this formula in the dataset ... 0 meV/atom
# Total magnetic moment ... 3.6 Bohr magnetons per cell
data_Ca3RePt
_chemical_formula_sum 'Ca3 Re1 Pt1'
_cell_length_a 5.332
_cell_length_b 5.332
_cell_length_c 5.332
_cell_angle_alpha 90.00
_cell_angle_beta 90.00
_cell_angle_gamma 90.00
_symmetry_space_group_name_H-M 'P 1'
_symmetry_Int_Tables_number 1
loop_
_symmetry_equiv_pos_as_xyz
'x,y,z'
loop_
_atom_site_label
_atom_site_fract_x
_atom_site_fract_y
_atom_site_fract_z
Ca1 0.000 0.000 0.500
Ca2 0.000 0.500 0.000
Ca3 0.500 0.000 0.000
Re1 0.500 0.500 0.500
Pt1 0.000 0.000 0.000


2.
# PBEsol Ca2RePt, relaxed
# Electronic total energy ... -5.960 eV per atom
# SG ... No. 44
# Calculated density ... 9.22 g cm⁻³
# Total magnetic moment ... 0.0 Bohr magnetons per cell
data_Ca2RePt
_chemical_formula_sum 'Ca4 Re2 Pt2'
_cell_length_a 2.896
_cell_length_b 5.101
_cell_length_c 11.256
_cell_angle_alpha 90.00
_cell_angle_beta 90.00
_cell_angle_gamma 90.00
_symmetry_space_group_name_H-M 'P 1'
_symmetry_Int_Tables_number 1
loop_
_symmetry_equiv_pos_as_xyz
'x,y,z'
loop_
_atom_site_label
_atom_site_fract_x
_atom_site_fract_y
_atom_site_fract_z
Ca1 0.000 0.000 0.000
Ca2 0.000 0.500 0.196
Ca3 0.500 0.000 0.696
Ca4 0.500 0.500 0.500
Re1 0.000 0.000 0.433
Re2 0.500 0.500 0.933
Pt1 0.000 0.500 0.741
Pt2 0.500 0.000 0.241


Which of these has the lowest calculated density?
Ca3RePt


Look up the calculated density of the second one.
9.22 g cm⁻³


Repeat the second record exactly.
# PBEsol Ca2RePt, relaxed
# Electronic total energy ... -5.960 eV per atom
# SG ... No. 44
# Calculated density ... 9.22 g cm⁻³
# Total magnetic moment ... 0.0 Bohr magnetons per cell
data_Ca2RePt
_chemical_formula_sum 'Ca4 Re2 Pt2'
_cell_length_a 2.896
_cell_length_b 5.101
_cell_length_c 11.256
_cell_angle_alpha 90.00
_cell_angle_beta 90.00
_cell_angle_gamma 90.00
_symmetry_space_group_name_H-M 'P 1'
_symmetry_Int_Tables_number 1
loop_
_symmetry_equiv_pos_as_xyz
'x,y,z'
loop_
_atom_site_label
_atom_site_fract_x
_atom_site_fract_y
_atom_site_fract_z
Ca1 0.000 0.000 0.000
Ca2 0.000 0.500 0.196
Ca3 0.500 0.000 0.696
Ca4 0.500 0.500 0.500
Re1 0.000 0.000 0.433
Re2 0.500 0.500 0.933
Pt1 0.000 0.500 0.741
Pt2 0.500 0.000 0.241


Among the records above, which one has the lowest calculated density?
Ca3RePt